[1]
# Hf3Mg5Sc12 | the Alexandria database | PBE-GGA | optimized geometry
data_Hf3Mg5Sc12
_cell_length_a 14.903
_cell_length_b 14.903
_cell_length_c 14.903
_cell_angle_alpha 109.47
_cell_angle_beta 109.47
_cell_angle_gamma 109.47
_space_group_name_H-M_alt 'P 1'
_space_group_IT_number 1
loop_
_space_group_symop_operation_xyz
'x,y,z'
loop_
_atom_site_label
_atom_site_type_symbol
_atom_site_fract_x
_atom_site_fract_y
_atom_site_fract_z
Sc1 Sc 0.430 0.075 0.345
Sc2 Sc 0.270 0.415 0.845
Sc3 Sc 0.270 0.855 0.925
Sc4 Sc 0.415 0.270 0.345
Sc5 Sc 0.430 0.355 0.585
Sc6 Sc 0.770 0.345 0.915
Sc7 Sc 0.925 0.570 0.155
Sc8 Sc 0.230 0.655 0.085
Sc9 Sc 0.570 0.925 0.655
Sc10 Sc 0.230 0.575 0.645
Sc11 Sc 0.415 0.145 0.570
Sc12 Sc 0.070 0.155 0.425
Sc13 Sc 0.655 0.425 0.570
Sc14 Sc 0.145 0.730 0.575
Sc15 Sc 0.575 0.345 0.930
Sc16 Sc 0.070 0.915 0.145
Sc17 Sc 0.085 0.930 0.355
Sc18 Sc 0.730 0.585 0.155
Sc19 Sc 0.845 0.915 0.270
Sc20 Sc 0.585 0.730 0.655
Sc21 Sc 0.915 0.845 0.770
Sc22 Sc 0.730 0.145 0.075
Sc23 Sc 0.930 0.085 0.855
Sc24 Sc 0.845 0.930 0.075
Sc25 Sc 0.155 0.085 0.730
Sc26 Sc 0.915 0.070 0.645
Sc27 Sc 0.345 0.575 0.430
Sc28 Sc 0.345 0.770 0.415
Sc29 Sc 0.855 0.585 0.930
Sc30 Sc 0.855 0.270 0.425
Sc31 Sc 0.770 0.425 0.355
Sc32 Sc 0.075 0.430 0.845
Sc33 Sc 0.645 0.075 0.230
Sc34 Sc 0.655 0.230 0.585
Sc35 Sc 0.425 0.655 0.070
Sc36 Sc 0.575 0.230 0.145
Sc37 Sc 0.155 0.070 0.925
Sc38 Sc 0.585 0.855 0.430
Sc39 Sc 0.570 0.645 0.415
Sc40 Sc 0.075 0.645 0.730
Sc41 Sc 0.085 0.155 0.230
Sc42 Sc 0.355 0.430 0.085
Sc43 Sc 0.425 0.770 0.855
Sc44 Sc 0.145 0.415 0.070
Sc45 Sc 0.925 0.355 0.270
Sc46 Sc 0.930 0.845 0.575
Sc47 Sc 0.355 0.925 0.770
Sc48 Sc 0.645 0.570 0.915
Mg1 Mg 0.000 0.500 0.500
Mg2 Mg 0.500 0.000 0.000
Mg3 Mg 0.875 0.250 0.625
Mg4 Mg 0.500 0.000 0.500
Mg5 Mg 0.000 0.500 0.000
Mg6 Mg 0.750 0.625 0.375
Mg7 Mg 0.875 0.625 0.750
Mg8 Mg 0.375 0.125 0.750
Mg9 Mg 0.500 0.500 0.000
Mg10 Mg 0.000 0.000 0.000
Mg11 Mg 0.625 0.750 0.875
Mg12 Mg 0.625 0.875 0.250
Mg13 Mg 0.375 0.250 0.125
Mg14 Mg 0.250 0.875 0.125
Mg15 Mg 0.000 0.000 0.500
Mg16 Mg 0.125 0.750 0.375
Mg17 Mg 0.125 0.375 0.250
Mg18 Mg 0.750 0.125 0.875
Mg19 Mg 0.250 0.375 0.625
Mg20 Mg 0.500 0.500 0.500
Hf1 Hf 0.375 0.750 0.625
Hf2 Hf 0.875 0.125 0.250
Hf3 Hf 0.250 0.625 0.875
Hf4 Hf 0.125 0.250 0.875
Hf5 Hf 0.625 0.250 0.375
Hf6 Hf 0.250 0.125 0.375
Hf7 Hf 0.625 0.375 0.750
Hf8 Hf 0.125 0.875 0.750
Hf9 Hf 0.750 0.875 0.625
Hf10 Hf 0.750 0.375 0.125
Hf11 Hf 0.375 0.625 0.250
Hf12 Hf 0.875 0.750 0.125
# Volume ... 31.85 A^3/atom
# E_form ... 0.86 eV/atom
# Density ... 3.119 g cm⁻³
# Raw total energy ... -4.833 eV/atom

=====

[2]
# Ac2Pr8Y | the Alexandria database | PBE-GGA | optimized geometry
data_Ac2Pr8Y
_cell_length_a 7.089
_cell_length_b 10.602
_cell_length_c 10.602
_cell_angle_alpha 38.67
_cell_angle_beta 58.99
_cell_angle_gamma 58.99
_space_group_name_H-M_alt 'P 1'
_space_group_IT_number 1
loop_
_space_group_symop_operation_xyz
'x,y,z'
loop_
_atom_site_label
_atom_site_type_symbol
_atom_site_fract_x
_atom_site_fract_y
_atom_site_fract_z
Pr1 Pr 0.732 0.588 0.588
Pr2 Pr 0.164 0.756 0.756
Pr3 Pr 0.772 0.651 0.179
Pr4 Pr 0.772 0.179 0.651
Pr5 Pr 0.228 0.821 0.349
Pr6 Pr 0.268 0.412 0.412
Pr7 Pr 0.228 0.349 0.821
Pr8 Pr 0.836 0.244 0.244
Ac1 Ac 0.420 0.197 0.197
Ac2 Ac 0.580 0.803 0.803
Y1 Y 0.000 0.000 0.000
# Volume ... 37.92 A^3/atom
# E above lowest polymorph ... 0.114 eV per atom
# E_form ... 0.14 eV/atom
# Density ... 6.649 g cm⁻³
# Raw total energy ... -4.675 eV/atom

=====

[3]
# Ti2CuNiH | the Alexandria database | PBE-GGA | optimized geometry
data_Ti2CuNiH
_cell_length_a 3.993
_cell_length_b 3.993
_cell_length_c 3.624
_cell_angle_alpha 90.00
_cell_angle_beta 90.00
_cell_angle_gamma 90.00
_space_group_name_H-M_alt 'P 1'
_space_group_IT_number 1
loop_
_space_group_symop_operation_xyz
'x,y,z'
loop_
_atom_site_label
_atom_site_type_symbol
_atom_site_fract_x
_atom_site_fract_y
_atom_site_fract_z
H1 H 0.000 0.000 0.000
Ti1 Ti 0.000 0.500 0.000
Ti2 Ti 0.500 0.000 0.000
Cu1 Cu 0.000 0.000 0.500
Ni1 Ni 0.500 0.500 0.500
# Volume ... 11.56 A^3/atom
# E above lowest polymorph ... 0.029 eV per atom
# Density ... 6.292 g cm⁻³
# Raw total energy ... -6.009 eV/atom